Density functional theory data (GGA-PBE) for a relaxed structure of ZnNi2Os.

Results
Fermi-level density of states = 4.92 states/eV/f.u.
Calculated formation energy = 0.12 eV per atom
Space group = Pmm2 (25)

Geometry as POSCAR:
```
ZnNi2Os
1.0
2.607 0.000 0.000
0.000 3.630 0.000
0.000 0.000 5.296
Zn Ni Os
1 2 1
Direct
0.000 0.000 0.000
0.000 0.000 0.483
0.500 0.500 0.229
0.500 0.500 0.708
```

Density functional theory data (GGA-PBE) for a relaxed structure of ZnNi2Os.

Results
Fermi-level density of states = 4.10 states/eV/f.u.
Calculated formation energy = 0.11 eV per atom
Space group = C2/m (12)

Geometry as POSCAR:
```
ZnNi2Os
1.0
4.239 -1.293 0.000
4.239 1.293 0.000
-0.663 0.000 4.594
Zn Ni Os
1 2 1
Direct
0.000 0.000 0.000
0.247 0.247 0.740
0.753 0.753 0.260
0.500 0.500 0.500
```

Density functional theory data (GGA-PBE) for a relaxed structure of ZnNi2Os.

Results
Fermi-level density of states = 3.30 states/eV/f.u.
Calculated formation energy = 0.03 eV per atom
Space group = P2/m (10)

Geometry as POSCAR:
```
ZnNi2Os
1.0
2.596 0.000 0.000
0.000 3.704 0.000
-0.015 0.000 5.202
Zn Ni Os
1 2 1
Direct
0.000 0.000 0.000
0.499 0.500 0.259
0.501 0.500 0.741
0.000 0.000 0.500
```

- What is the calculated formation energy in the third record?
  0.03 eV per atom